[1]
# TeRu2F

Crystalline TeRu2F at its relaxed geometry (PBE, Alexandria via LeMat-Bulk).

```
4
Lattice="0.0000 3.0881 3.0881 3.0881 0.0000 3.0881 3.0881 3.0881 0.0000" Properties=species:S:1:pos:R:3 pbc="T T T"
Te 0.0000 0.0000 0.0000
Ru 1.5441 1.5441 1.5441
Ru 4.6322 4.6322 4.6322
F 3.0881 3.0881 3.0881
```

Computed properties:
Formation energy without anion corrections   -18 kJ/mol of formula units
E_tot   -5.94 eV/atom
Energy relative to the lowest polymorph listed for this composition   0.000 eV per atom
Density of states at the Fermi level   3.16 states/eV/f.u.
Size of the total moment   0.0 μB per formula unit

=====

[2]
# BeZn2As

Crystalline BeZn2As at its relaxed geometry (PBE, Alexandria via LeMat-Bulk).

```
4
Lattice="4.1642 -1.4118 0.0000 4.1642 1.4118 0.0000 -2.3448 0.0000 5.3612" Properties=species:S:1:pos:R:3 pbc="T T T"
Be 0.0000 0.0000 0.0000
Zn 3.6384 0.0000 2.0520
Zn 6.0289 0.0000 0.4977
As 1.4668 0.0000 3.4763
```

Computed properties:
E_tot   -2.56 eV/atom
Energy relative to the lowest polymorph listed for this composition   0.000 eV per atom
Density of states at the Fermi level   0.96 states/eV/f.u.
Size of the total moment   0.0 μB per formula unit

=====

[3]
# Ac3GaPb

Crystalline Ac3GaPb at its relaxed geometry (PBE, Alexandria via LeMat-Bulk).

```
10
Lattice="9.0296 -2.1456 0.0000 9.0296 2.1456 0.0000 -0.7629 0.0000 9.5050" Properties=species:S:1:pos:R:3 pbc="T T T"
Ac 0.6987 0.0000 1.8881
Ac 3.8359 0.0000 7.6872
Ac 6.8586 0.0000 4.1660
Ac 10.4376 0.0000 5.3390
Ac 13.4604 0.0000 1.8178
Ac 16.5976 0.0000 7.6169
Ga 3.5638 0.0000 4.1324
Ga 13.7324 0.0000 5.3726
Pb 7.0255 0.0000 0.6900
Pb 10.2707 0.0000 8.8150
```

Computed properties:
E_tot   -4.22 eV/atom
Energy relative to the lowest polymorph listed for this composition   0.000 eV per atom
Density of states at the Fermi level   4.26 states/eV/f.u.
Size of the total moment   0.8 μB per formula unit

=====

Question: Look up the energy relative to the lowest polymorph listed for this composition of the second one.
Answer: 0.000 eV per atom